(1)
! CaRe3Pb, single point on PBEsol structure, DFT meta-GGA SCAN; values from VASP
&SYSTEM
  ibrav = 0, nat = 5, ntyp = 3
/
ATOMIC_SPECIES
Ca 40.08 Ca.upf
Re 186.21 Re.upf
Pb 207.20 Pb.upf
ATOMIC_POSITIONS crystal
Ca 0.0000 0.0000 0.0000
Re 0.0000 0.0000 0.5000
Re 0.0000 0.5000 0.0000
Re 0.5000 0.0000 0.0000
Pb 0.5000 0.5000 0.5000
CELL_PARAMETERS angstrom
4.6709 0.0000 0.0000
0.0000 4.6709 0.0000
0.0000 0.0000 4.6709
! Energy above the most stable polymorph in this dataset (eV per atom): 0.638
! Magnetic moment (μB/cell): 3.4

(2)
! CaRe3Pb, single point on PBEsol structure, DFT meta-GGA SCAN; values from VASP
&SYSTEM
  ibrav = 0, nat = 5, ntyp = 3
/
ATOMIC_SPECIES
Ca 40.08 Ca.upf
Re 186.21 Re.upf
Pb 207.20 Pb.upf
ATOMIC_POSITIONS crystal
Ca 0.0000 0.0000 0.0000
Re 0.0000 0.5000 0.5000
Re 0.5000 0.0000 0.5000
Re 0.5000 0.5000 0.0000
Pb 0.5000 0.5000 0.5000
CELL_PARAMETERS angstrom
4.9680 0.0000 0.0000
0.0000 4.9680 0.0000
0.0000 0.0000 4.9680
! Energy above the most stable polymorph in this dataset (eV per atom): 0.000
! Magnetic moment (μB/cell): 3.2

(3)
! CaRePb, single point on PBEsol structure, DFT meta-GGA SCAN; values from VASP
&SYSTEM
  ibrav = 0, nat = 3, ntyp = 3
/
ATOMIC_SPECIES
Ca 40.08 Ca.upf
Re 186.21 Re.upf
Pb 207.20 Pb.upf
ATOMIC_POSITIONS crystal
Ca 0.0000 0.0000 0.0000
Re 0.7500 0.7500 0.7500
Pb 0.5000 0.5000 0.5000
CELL_PARAMETERS angstrom
0.0000 3.3300 3.3300
3.3300 0.0000 3.3300
3.3300 3.3300 0.0000
! Magnetic moment (μB/cell): 1.1

(4)
! CaScRe2Pb, single point on PBEsol structure, DFT meta-GGA SCAN; values from VASP
&SYSTEM
  ibrav = 0, nat = 5, ntyp = 4
/
ATOMIC_SPECIES
Ca 40.08 Ca.upf
Sc 44.96 Sc.upf
Re 186.21 Re.upf
Pb 207.20 Pb.upf
ATOMIC_POSITIONS crystal
Ca 0.0000 0.0000 0.0000
Sc 0.5000 0.5000 0.5000
Re 0.0000 0.5000 0.0000
Re 0.5000 0.0000 0.0000
Pb 0.0000 0.0000 0.5000
CELL_PARAMETERS angstrom
4.6313 0.0000 0.0000
0.0000 4.6313 0.0000
0.0000 0.0000 5.2452
! Magnetic moment (μB/cell): 0.0

Number 1: theoretical density 13.13 g/cm³, DFT formation energy 3.35 eV per atom. Number 2: theoretical density 10.91 g/cm³, DFT formation energy 2.71 eV per atom. Number 3: theoretical density 9.75 g/cm³, DFT formation energy 0.91 eV per atom. Number 4: theoretical density 9.81 g/cm³, DFT formation energy 2.35 eV per atom.